Entry from the Alexandria database: K2HgAu after structural relaxation (PBE).

## Properties
The calculation puts the density of states at the Fermi level at 0.652 states/eV per atom. The formation energy comes out at -0.78 eV per formula unit.

```
data_K2HgAu
_chemical_formula_sum 'K2 Hg1 Au1'
_space_group_name_H-M_alt 'P 1'
_space_group_IT_number 1
_space_group_name_Hall 'P 1'
_cell_length_a 6.349
_cell_length_b 6.349
_cell_length_c 6.349
_cell_angle_alpha 134.04
_cell_angle_beta 134.04
_cell_angle_gamma 67.02
loop_
_atom_site_label
_atom_site_type_symbol
_atom_site_fract_x
_atom_site_fract_y
_atom_site_fract_z
Au1 Au 0.500 0.500 0.000
Hg1 Hg 0.750 0.250 0.500
K1 K 0.000 0.000 0.000
K2 K 0.250 0.750 0.500
```